## LiWF2 (PBE+U)

Data for a relaxed LiWF2 crystal.

abc: 7.658 7.658 7.658
angles: 23.65 23.65 23.65
Positions (direct):
Li 0.000 0.000 0.000
W 0.500 0.500 0.500
F 0.924 0.924 0.924
F 0.076 0.076 0.076

## Properties
The calculation puts the energy above the most stable polymorph in this dataset at 289.6 kJ/mol of formula units. As for the space group: R-3m. The value obtained for the spin magnetization is 0.85 μB/atom.